The following is a DFT calculation (PBE) of an optimized crystal structure of BeWAu2.

Geometry as POSCAR:
```
BeWAu2
1.0
-2.153 -1.171 -1.401
2.723 -0.445 -3.812
1.378 -4.312 1.487
Be Au W
1 2 1
direct
0.500 0.000 0.500
0.000 0.000 0.000
0.500 0.500 0.000
0.000 0.500 0.500
```

---

The following is a DFT calculation (PBE) of an optimized crystal structure of BeW2Au.

Geometry as POSCAR:
```
BeW2Au
1.0
2.704 0.000 0.000
0.000 3.962 0.000
0.000 0.000 5.707
Be Au W
1 1 2
direct
0.500 0.500 0.762
0.000 0.000 0.520
0.000 0.000 0.989
0.500 0.500 0.229
```

---

The following is a DFT calculation (PBE) of an optimized crystal structure of BeW2Au.

Geometry as POSCAR:
```
BeW2Au
1.0
-3.536 -0.979 0.253
0.575 -1.191 3.432
-3.658 7.658 5.241
Be Au W
2 2 4
direct
0.500 0.500 0.000
0.250 0.750 0.500
0.000 0.000 0.000
0.750 0.250 0.500
0.612 0.125 0.250
0.138 0.625 0.250
0.375 0.388 0.750
0.875 0.862 0.750
```

---

The following is a DFT calculation (PBE) of an optimized crystal structure of BeW2Au.

Geometry as POSCAR:
```
BeW2Au
1.0
-1.725 -2.060 -0.478
0.407 0.010 2.699
-6.398 5.140 0.944
Be Au W
1 1 2
direct
0.500 0.500 0.750
0.000 0.000 0.534
0.000 0.000 0.973
0.500 0.500 0.243
```

---

The following is a DFT calculation (PBE) of an optimized crystal structure of BeWAu2.

Geometry as POSCAR:
```
BeWAu2
1.0
-3.598 1.289 1.302
-0.130 -2.976 2.584
1.784 2.261 2.693
Be Au W
1 2 1
direct
0.500 0.500 0.000
0.000 0.000 0.000
0.000 0.500 0.500
0.500 0.000 0.500
```

---

BeW3Au PBE relaxed; E above lowest polymorph = 0 meV per atom
1.0
4.248 0.000 0.000
0.000 4.248 0.000
0.000 0.000 4.248
Be Au W
1 1 3
direct
0.000 0.000 0.000
0.500 0.500 0.500
0.000 0.500 0.000
0.000 0.000 0.500
0.500 0.000 0.000

---

BeWAu PBE relaxed; E above lowest polymorph = 502 meV per atom
1.0
-1.460 2.777 -2.500
-2.436 -1.082 -2.999
-3.892 0.967 0.128
Be Au W
1 1 1
direct
0.750 0.750 0.750
0.500 0.500 0.500
0.000 0.000 0.000

---

The following is a DFT calculation (PBE) of an optimized crystal structure of BeWAu2.

Geometry as POSCAR:
```
BeWAu2
1.0
-2.572 -0.867 3.984
-3.817 -2.672 -1.235
4.696 -0.586 -0.918
Be Au W
1 2 1
direct
0.250 0.750 0.500
0.000 0.000 0.000
0.500 0.500 0.000
0.750 0.250 0.500
```

---

The following is a DFT calculation (PBE) of an optimized crystal structure of BeWAu2.

Geometry as POSCAR:
```
BeWAu2
1.0
4.449 0.000 0.000
2.225 3.853 0.000
2.225 1.284 3.633
Be Au W
1 2 1
direct
0.500 0.500 0.500
0.000 0.000 0.000
0.250 0.250 0.250
0.750 0.750 0.750
```

---

The following is a DFT calculation (PBE) of an optimized crystal structure of BeWAu2.

Geometry as POSCAR:
```
BeWAu2
1.0
6.285 0.010 0.031
-2.553 4.255 -0.034
1.180 0.724 2.357
Be Au W
1 2 1
direct
0.000 0.500 0.500
0.000 0.000 0.000
0.500 0.000 0.500
0.500 0.500 0.000
```

---

The following is a DFT calculation (PBE) of an optimized crystal structure of BeW2Au.

Geometry as POSCAR:
```
BeW2Au
1.0
4.895 -0.003 -0.004
1.745 4.573 0.004
-2.829 -2.999 2.639
Be Au W
1 1 2
direct
0.259 0.759 0.500
0.469 0.469 0.000
0.018 0.018 0.000
0.754 0.254 0.500
```

---

The following is a DFT calculation (PBE) of an optimized crystal structure of BeW2Au.

Geometry as POSCAR:
```
BeW2Au
1.0
4.328 0.000 0.000
0.000 3.723 0.000
0.000 0.000 3.723
Be Au W
1 1 2
direct
0.500 0.000 0.500
0.500 0.500 0.000
0.000 0.000 0.000
0.000 0.500 0.500
```

---

The following is a DFT calculation (PBE) of an optimized crystal structure of BeWAu2.

Geometry as POSCAR:
```
BeWAu2
1.0
-2.398 -1.744 2.312
-0.891 -2.412 -2.744
5.244 -7.820 2.595
Be Au W
2 4 2
direct
0.500 0.500 0.000
0.250 0.750 0.500
0.619 0.125 0.250
0.131 0.625 0.250
0.375 0.381 0.750
0.875 0.869 0.750
0.000 0.000 0.000
0.750 0.250 0.500
```

---

The following is a DFT calculation (PBE) of an optimized crystal structure of BeW2Au.

Geometry as POSCAR:
```
BeW2Au
1.0
3.218 0.000 0.000
0.000 3.218 0.000
0.000 0.000 5.869
Be Au W
1 1 2
direct
0.500 0.500 0.761
0.000 0.000 0.532
0.000 0.000 0.992
0.500 0.500 0.215
```

---

The following is a DFT calculation (PBE) of an optimized crystal structure of BeW2Au.

Geometry as POSCAR:
```
BeW2Au
1.0
-0.582 -2.267 -3.403
1.905 -1.777 0.859
-2.244 -4.183 3.171
Be Au W
1 1 2
direct
0.500 0.750 0.750
0.500 0.250 0.250
0.000 0.964 0.978
0.000 0.536 0.522
```

---

BeWAu PBE relaxed; E above lowest polymorph = 146 meV per atom
1.0
-1.397 -1.206 2.101
2.796 -0.049 -0.030
0.134 5.584 3.293
Be Au W
1 1 1
direct
0.667 0.333 0.330
0.000 0.000 0.027
0.333 0.667 0.643

---

The following is a DFT calculation (PBE) of an optimized crystal structure of BeWAu2.

Geometry as POSCAR:
```
BeWAu2
1.0
-3.709 -1.964 3.241
-0.399 -5.259 0.549
2.927 4.390 0.533
Be Au W
1 2 1
direct
0.750 0.250 0.500
0.958 0.958 0.000
0.542 0.542 0.000
0.250 0.750 0.500
```

---

The following is a DFT calculation (PBE) of an optimized crystal structure of BeW2Au.

Geometry as POSCAR:
```
BeW2Au
1.0
-1.455 -3.057 3.267
1.144 -3.635 2.758
1.408 2.910 3.883
Be Au W
1 1 2
direct
0.256 0.256 0.228
0.495 0.495 0.485
0.998 0.998 0.009
0.751 0.751 0.778
```

---

The following is a DFT calculation (PBE) of an optimized crystal structure of BeW2Au.

Geometry as POSCAR:
```
BeW2Au
1.0
4.993 0.004 0.029
-2.272 4.446 0.029
0.090 0.148 2.731
Be Au W
1 1 2
direct
0.000 0.500 0.500
0.500 0.000 0.500
0.000 0.000 0.000
0.500 0.500 0.000
```

---

The following is a DFT calculation (PBE) of an optimized crystal structure of BeWAu2.

Geometry as POSCAR:
```
BeWAu2
1.0
-3.636 2.853 -2.176
-4.684 0.318 -2.011
-3.120 1.509 3.376
Be Au W
1 2 1
direct
0.490 0.490 0.447
0.004 0.004 0.001
0.786 0.786 0.748
0.221 0.221 0.304
```

---

| no. | energy of formation (eV per atom) |
| --- | --- |
| 1 | 0.532 |
| 2 | 0.372 |
| 3 | 0.766 |
| 4 | 0.195 |
| 5 | 0.569 |
| 6 | 0.791 |
| 7 | 0.704 |
| 8 | 0.541 |
| 9 | 0.617 |
| 10 | 0.460 |
| 11 | 0.339 |
| 12 | 0.317 |
| 13 | 0.786 |
| 14 | 0.254 |
| 15 | 0.329 |
| 16 | 0.349 |
| 17 | 0.381 |
| 18 | 0.403 |
| 19 | 0.415 |
| 20 | 0.328 |